(1)
DFT (PBE-GGA) results for a geometry-optimized SrNdAl structure.

Cell: 7.4609 7.4609 7.4609 Å, 90.00 90.00 90.00°
Sites, in units of the cell vectors:
Sr: 0.0000 0.0000 0.0000
Sr: 0.0000 0.5000 0.5000
Sr: 0.5000 0.0000 0.5000
Sr: 0.5000 0.5000 0.0000
Nd: 0.2500 0.2500 0.7500
Nd: 0.2500 0.7500 0.2500
Nd: 0.7500 0.2500 0.2500
Nd: 0.7500 0.7500 0.7500
Al: 0.0000 0.0000 0.5000
Al: 0.0000 0.5000 0.0000
Al: 0.5000 0.0000 0.0000
Al: 0.5000 0.5000 0.5000


(2)
DFT (PBE-GGA) results for a geometry-optimized Y2ErSe3 structure.

Cell: 4.0598 4.0598 9.9639 Å, 90.00 90.00 120.00°
Sites, in units of the cell vectors:
Y: 0.3333 0.6667 0.1678
Y: 0.6667 0.3333 0.8322
Er: 0.0000 0.0000 0.5000
Se: 0.0000 0.0000 0.0000
Se: 0.3333 0.6667 0.6624
Se: 0.6667 0.3333 0.3376


Number 1: energy -35.68 eV/cell. Number 2: energy -38.39 eV/cell.